The following is a PBE calculation of a relaxed structure of Ir2W, from Alexandria via LeMat-Bulk.

Values from the calculation:
- SG: P-62m, No. 189
- E_tot: -10.40 eV/atom
- Formation enthalpy at 0 K: -179 meV/atom

Unit cell a=7.5190 b=7.5190 c=2.7908 alpha=90.00 beta=90.00 gamma=120.00
Fractional positions:
W  0.0000  0.0000  0.5000
W  0.3333  0.6667  0.0000
W  0.6667  0.3333  0.0000
Ir  0.3011  0.0000  0.0000
Ir  0.6989  0.6989  0.0000
Ir  0.0000  0.6399  0.5000
Ir  0.3601  0.3601  0.5000
Ir  0.6399  0.0000  0.5000
Ir  0.0000  0.3011  0.0000

***

The following is a PBE calculation of a relaxed structure of InAgAs2, from Alexandria via LeMat-Bulk.

Values from the calculation:
- SG: Pmm2, No. 25
- E_tot: -3.58 eV/atom
- Formation enthalpy at 0 K: 144 meV/atom

Unit cell a=3.9175 b=3.9602 c=5.6509 alpha=90.00 beta=90.00 gamma=90.00
Fractional positions:
As  0.5000  0.5000  0.3757
As  0.0000  0.0000  0.8747
Ag  0.5000  0.5000  0.8754
In  0.0000  0.0000  0.3742